Density functional theory data (PBE) for a relaxed structure of AlCd2Pd.

Calculated values
**M_tot**: 0.0 μB per cell
**Raw total energy**: -10.63 eV/f.u.
**Space group**: I-42d (122)

Lattice parameters (Å, degrees): 8.0103 8.0103 6.2508 50.15 50.15 90.00
Fractional positions:
Cd  0.0911  0.6250  0.2500
Pd  0.7500  0.2500  0.5000
Al  0.2500  0.7500  0.5000
Cd  0.6589  0.1250  0.2500
Cd  0.3750  0.3411  0.7500
Pd  0.0000  0.0000  0.0000
Cd  0.8750  0.9089  0.7500
Al  0.5000  0.5000  0.0000

---

Density functional theory data (PBE) for a relaxed structure of IrPd3Br.

Calculated values
**ΔE to the lowest computed polymorph**: 183 meV/atom
**M_tot**: 1.6 μB per cell
**Uncorrected formation energy**: 1.21 eV per atom
**Raw total energy**: -20.06 eV/f.u.
**Space group**: Pm-3m (221)

Lattice parameters (Å, degrees): 4.6435 4.6435 4.6435 90.00 90.00 90.00
Fractional positions:
Pd  0.0000  0.5000  0.0000
Pd  0.0000  0.0000  0.5000
Pd  0.5000  0.0000  0.0000
Ir  0.5000  0.5000  0.5000
Br  0.0000  0.0000  0.0000

---

Density functional theory data (PBE) for a relaxed structure of ZnSe.

Calculated values
**M_tot**: 0.0 μB per cell
**Uncorrected formation energy**: -0.53 eV per atom
**Raw total energy**: -5.83 eV/f.u.
**Space group**: P-3m1 (164)

Lattice parameters (Å, degrees): 4.0610 4.0610 23.7164 90.00 90.00 120.00
Fractional positions:
Se  0.3333  0.6667  0.2431
Se  0.3333  0.6667  0.4276
Zn  0.0000  0.0000  0.7839
Zn  0.3333  0.6667  0.8824
Zn  0.0000  0.0000  0.2161
Se  0.6667  0.3333  0.7569
Zn  0.6667  0.3333  0.4602
Zn  0.6667  0.3333  0.1176
Se  0.6667  0.3333  0.5724
Se  0.0000  0.0000  0.9067
Se  0.0000  0.0000  0.0933
Zn  0.3333  0.6667  0.5398

---

Density functional theory data (PBE) for a relaxed structure of CaTl6Cd.

Calculated values
**ΔE to the lowest computed polymorph**: 34 meV/atom
**M_tot**: 0.0 μB per cell
**Raw total energy**: -17.58 eV/f.u.
**Space group**: P-1 (2)

Lattice parameters (Å, degrees): 8.2409 9.5397 6.3010 41.22 49.02 54.94
Fractional positions:
Tl  0.7670  0.9436  0.8379
Tl  0.4500  0.7661  0.7339
Tl  0.9483  0.5516  0.7318
Tl  0.2330  0.0564  0.1621
Tl  0.0517  0.4484  0.2682
Tl  0.5500  0.2339  0.2661
Ca  0.5000  0.5000  0.5000
Cd  0.0000  0.0000  0.0000